No. 1
Here is a geometry-optimized EuO3 structure from the Alexandria database. Energies are from PBE-GGA.

Lattice parameters (Å, degrees): 5.0102 5.0102 4.4540 90.00 90.00 120.00
Last column: nearest neighbours and their distance in Å.
Atoms (fractional coordinates):
Eu  0.3333  0.6667  0.7500  12 O 2.51-2.57
Eu  0.6667  0.3333  0.2500  12 O 2.51-2.57
O  0.1852  0.3705  0.2500  2 O 2.23
O  0.6295  0.8148  0.2500  2 O 2.23
O  0.1852  0.8148  0.2500  2 O 2.23
O  0.8148  0.6295  0.7500  2 O 2.23
O  0.3705  0.1852  0.7500  2 O 2.23
O  0.8148  0.1852  0.7500  2 O 2.23

Properties
E_form (uncorrected): -1.048 eV per atom
V: 96.8 Å³ per cell
Fermi-level density of states: 6.74 states/eV/cell
size of the total moment: 6.0 μB per cell

No. 2
Here is a geometry-optimized MnSb structure from the Alexandria database. Energies are from PBE-GGA.

Lattice parameters (Å, degrees): 5.6148 5.6148 5.6148 137.62 137.62 61.48
Last column: nearest neighbours and their distance in Å.
Atoms (fractional coordinates):
Mn  0.0000  0.0000  0.0000  8 Sb 2.87-3.15, 4 Mn 3.15
Mn  0.2500  0.7500  0.5000  8 Sb 2.87-3.15, 4 Mn 3.15
Sb  0.5000  0.5000  0.0000  8 Mn 2.87-3.15, 4 Sb 3.15
Sb  0.7500  0.2500  0.5000  8 Mn 2.87-3.15, 4 Sb 3.15

Properties
E_form (uncorrected): 0.301 eV per atom
V: 79.5 Å³ per cell
Fermi-level density of states: 3.66 states/eV/cell
size of the total moment: 7.2 μB per cell

No. 3
Here is a geometry-optimized AcLaIn structure from the Alexandria database. Energies are from PBE-GGA.

Lattice parameters (Å, degrees): 5.4774 5.4563 7.9728 90.87 91.11 60.97
Last column: nearest neighbours and their distance in Å.
Atoms (fractional coordinates):
Ac  0.6678  0.1672  0.3907  3 In 3.45-3.47, 3 Ac 3.61-3.64, 1 La 3.85
Ac  0.3322  0.8328  0.6093  3 In 3.45-3.47, 3 Ac 3.61-3.64, 1 La 3.85
La  0.6661  0.1667  0.9079  3 In 3.31-3.33, 3 La 3.49-3.50
La  0.3339  0.8333  0.0921  3 In 3.31-3.33, 3 La 3.49-3.50
In  0.9996  0.4999  0.7830  3 La 3.31-3.33, 3 Ac 3.45-3.47, 1 In 3.46
In  0.0004  0.5001  0.2170  3 La 3.31-3.33, 3 Ac 3.45-3.47, 1 In 3.46

Properties
V: 208.3 Å³ per cell
Fermi-level density of states: 5.37 states/eV/cell
size of the total moment: 0.0 μB per cell
E_tot: -4.16 eV/atom

No. 4
Here is a geometry-optimized Pm5Nd4Sn2 structure from the Alexandria database. Energies are from PBE-GGA.

Lattice parameters (Å, degrees): 5.3386 5.3386 16.1247 80.47 80.47 60.00
Last column: nearest neighbours and their distance in Å.
Atoms (fractional coordinates):
Pm  0.8042  0.8042  0.5875  4 Sn 3.17-3.51, 3 Pm 3.38
Pm  0.6479  0.6479  0.0564  3 Pm 3.56, 5 Nd 3.58-3.71
Pm  0.5000  0.5000  0.5000  6 Pm 3.38, 2 Nd 3.44, 6 Sn 3.75
Pm  0.3521  0.3521  0.9436  3 Pm 3.56, 5 Nd 3.58-3.71
Pm  0.1958  0.1958  0.4125  4 Sn 3.17-3.51, 3 Pm 3.38
Nd  0.7261  0.7261  0.8218  3 Nd 3.50, 5 Pm 3.64-3.71
Nd  0.5725  0.5725  0.2825  3 Sn 3.35, 5 Pm 3.44-3.71, 3 Nd 3.50
Nd  0.4275  0.4275  0.7175  3 Sn 3.35, 5 Pm 3.44-3.71, 3 Nd 3.50
Nd  0.2739  0.2739  0.1782  3 Nd 3.50, 5 Pm 3.64-3.71
Sn  0.1218  0.1218  0.6346  4 Pm 3.17-3.51, 3 Nd 3.35
Sn  0.8782  0.8782  0.3654  4 Pm 3.17-3.51, 3 Nd 3.35

Properties
V: 390.7 Å³ per cell
Fermi-level density of states: 16.08 states/eV/cell
size of the total moment: 0.5 μB per cell
E_tot: -4.55 eV/atom

No. 5
Here is a geometry-optimized MgCu2Tc structure from the Alexandria database. Energies are from PBE-GGA.

Lattice parameters (Å, degrees): 6.0197 4.7993 2.5925 90.09 64.34 120.67
Last column: nearest neighbours and their distance in Å.
Atoms (fractional coordinates):
Cu  0.0000  0.0000  0.0000  4 Cu 2.59-2.71, 4 Tc 2.73, 4 Mg 2.73
Cu  0.5000  0.0000  0.5000  4 Cu 2.59-2.71, 4 Mg 2.73, 4 Tc 2.73
Mg  0.0000  0.5000  0.5000  2 Mg 2.59, 2 Tc 2.71, 8 Cu 2.73
Tc  0.5000  0.5000  0.0000  2 Tc 2.59, 2 Mg 2.71, 8 Cu 2.73

Properties
V: 55.7 Å³ per cell
Fermi-level density of states: 2.22 states/eV/cell
size of the total moment: 0.0 μB per cell
E_tot: -4.90 eV/atom

No. 6
Here is a geometry-optimized Zr2V2Pb structure from the Alexandria database. Energies are from PBE-GGA.

Lattice parameters (Å, degrees): 7.3755 7.3755 3.6204 90.00 90.00 90.00
Last column: nearest neighbours and their distance in Å.
Atoms (fractional coordinates):
Pb  0.0000  0.0000  0.0000  4 V 3.04, 8 Zr 3.23
Pb  0.5000  0.5000  0.0000  4 V 3.04, 8 Zr 3.23
Zr  0.1909  0.6909  0.5000  6 V 2.84-2.88
Zr  0.6909  0.8091  0.5000  6 V 2.84-2.88
Zr  0.8091  0.3091  0.5000  6 V 2.84-2.88
Zr  0.3091  0.1909  0.5000  6 V 2.84-2.88
V  0.4007  0.9007  0.0000  1 V 2.07
V  0.9007  0.5993  0.0000  1 V 2.07
V  0.5993  0.0993  0.0000  1 V 2.07
V  0.0993  0.4007  0.0000  1 V 2.07

Properties
V: 196.9 Å³ per cell
Fermi-level density of states: 7.47 states/eV/cell
size of the total moment: 0.0 μB per cell
E_tot: -7.74 eV/atom

No. 7
Here is a geometry-optimized Sc4BCl5 structure from the Alexandria database. Energies are from PBE-GGA.

Lattice parameters (Å, degrees): 3.5783 7.4210 8.3750 77.35 102.34 90.00
Last column: nearest neighbours and their distance in Å.
Atoms (fractional coordinates):
Sc  0.3568  0.0771  0.7136  1 B 2.28
Sc  0.9997  0.7876  0.9994  2 B 2.39, 1 Cl 2.63
Sc  0.6432  0.9229  0.2864  1 B 2.28
Sc  0.0003  0.2124  0.0006  2 B 2.39, 1 Cl 2.63
B  0.5000  0.0000  0.0000  6 Sc 2.28-2.39
Cl  0.8294  0.8415  0.6589  3 Sc 2.61-2.72
Cl  0.8363  0.3300  0.6726  3 Sc 2.56-2.63
Cl  0.1637  0.6700  0.3274  3 Sc 2.56-2.63
Cl  0.5000  0.5000  0.0000  4 Sc 2.78
Cl  0.1706  0.1585  0.3411  3 Sc 2.61-2.72

Properties
E_form (uncorrected): -1.637 eV per atom
V: 211.7 Å³ per cell
Fermi-level density of states: 4.60 states/eV/cell
size of the total moment: 0.0 μB per cell

No. 8
Here is a geometry-optimized TcSnIr structure from the Alexandria database. Energies are from PBE-GGA.

Lattice parameters (Å, degrees): 2.9158 2.9206 6.2510 90.00 104.03 90.00
Last column: nearest neighbours and their distance in Å.
Atoms (fractional coordinates):
Ir  0.1632  0.5000  0.5178  4 Tc 2.63, 2 Sn 2.79-2.82, 4 Ir 2.92
Sn  0.8577  0.5000  0.9124  2 Ir 2.79-2.82, 4 Tc 2.89-2.92, 4 Sn 2.92
Tc  0.5231  0.0000  0.2489  4 Ir 2.63, 4 Sn 2.89-2.92, 4 Tc 2.92

Properties
V: 51.6 Å³ per cell
Fermi-level density of states: 1.07 states/eV/cell
size of the total moment: 0.0 μB per cell
E_tot: -7.71 eV/atom

No. 9
Here is a geometry-optimized Sm6Y2Ho3In structure from the Alexandria database. Energies are from PBE-GGA.

Lattice parameters (Å, degrees): 6.1576 6.1576 11.7585 95.04 95.04 120.10
Last column: nearest neighbours and their distance in Å.
Atoms (fractional coordinates):
Sm  0.9174  0.5899  0.7510  6 Sm 3.49-3.59, 1 In 3.52, 3 Ho 3.55-3.57, 2 Y 3.55
Sm  0.7556  0.7556  0.2504  6 Sm 3.49-3.59, 1 In 3.53, 3 Ho 3.54-3.56, 2 Y 3.56
Sm  0.0826  0.4101  0.2490  6 Sm 3.49-3.59, 1 In 3.52, 3 Ho 3.55-3.57, 2 Y 3.55
Sm  0.5899  0.9174  0.7510  6 Sm 3.49-3.59, 1 In 3.52, 3 Ho 3.55-3.57, 2 Y 3.55
Sm  0.2444  0.2444  0.7496  6 Sm 3.49-3.59, 1 In 3.53, 3 Ho 3.54-3.56, 2 Y 3.56
Sm  0.4101  0.0826  0.2490  6 Sm 3.49-3.59, 1 In 3.52, 3 Ho 3.55-3.57, 2 Y 3.55
Y  0.3338  0.6662  0.0000  3 Y 3.55-3.56, 3 In 3.55-3.56, 6 Sm 3.55-3.56
Y  0.6662  0.3338  0.0000  3 Y 3.55-3.56, 3 In 3.55-3.56, 6 Sm 3.55-3.56
Ho  0.1676  0.8324  0.5000  6 Sm 3.54-3.57, 6 Ho 3.54-3.58
Ho  0.8324  0.1676  0.5000  6 Sm 3.54-3.57, 6 Ho 3.54-3.58
Ho  0.5000  0.5000  0.5000  6 Sm 3.55-3.56, 6 Ho 3.55-3.56
In  0.0000  0.0000  0.0000  6 Sm 3.52-3.53, 6 Y 3.55-3.56

Properties
V: 379.7 Å³ per cell
Fermi-level density of states: 14.26 states/eV/cell
size of the total moment: 0.0 μB per cell
E_tot: -4.85 eV/atom

No. 10
Here is a geometry-optimized YBP3 structure from the Alexandria database. Energies are from PBE-GGA.

Lattice parameters (Å, degrees): 5.2504 5.2504 5.2504 90.00 90.00 90.00
Last column: nearest neighbours and their distance in Å.
Atoms (fractional coordinates):
Y  0.0000  0.0000  0.0000  6 P 2.63
P  0.0000  0.5000  0.0000  2 Y 2.63
P  0.0000  0.0000  0.5000  2 Y 2.63
P  0.5000  0.0000  0.0000  2 Y 2.63
B  0.5000  0.5000  0.5000  12 P 3.71

Properties
V: 144.7 Å³ per cell
Fermi-level density of states: 4.73 states/eV/cell
size of the total moment: 0.0 μB per cell
E_tot: -4.27 eV/atom

No. 11
Here is a geometry-optimized Nd2SmY3Ho6 structure from the Alexandria database. Energies are from PBE-GGA.

Lattice parameters (Å, degrees): 6.1890 6.1890 11.8153 95.00 95.00 119.96
Last column: nearest neighbours and their distance in Å.
Atoms (fractional coordinates):
Nd  0.3333  0.6667  0.0000  3 Nd 3.57, 3 Sm 3.57, 6 Ho 3.58-3.59
Nd  0.6667  0.3333  0.0000  3 Nd 3.57, 3 Sm 3.57, 6 Ho 3.58-3.59
Sm  0.0000  0.0000  0.0000  6 Nd 3.57, 6 Ho 3.58-3.59
Y  0.1666  0.8334  0.5000  6 Ho 3.54-3.55, 6 Y 3.57-3.58
Y  0.8334  0.1666  0.5000  6 Ho 3.54-3.55, 6 Y 3.57-3.58
Y  0.5000  0.5000  0.5000  6 Ho 3.54-3.55, 6 Y 3.57
Ho  0.9152  0.5821  0.7479  3 Y 3.54-3.55, 6 Ho 3.57-3.58, 2 Nd 3.58-3.59, 1 Sm 3.59
Ho  0.7518  0.7518  0.2521  3 Y 3.54-3.55, 6 Ho 3.57-3.58, 1 Sm 3.58, 2 Nd 3.59
Ho  0.0848  0.4179  0.2521  3 Y 3.54-3.55, 6 Ho 3.57-3.58, 2 Nd 3.58-3.59, 1 Sm 3.59
Ho  0.5821  0.9152  0.7479  3 Y 3.54-3.55, 6 Ho 3.57-3.58, 2 Nd 3.58-3.59, 1 Sm 3.59
Ho  0.2482  0.2482  0.7479  3 Y 3.54-3.55, 6 Ho 3.57-3.58, 1 Sm 3.58, 2 Nd 3.59
Ho  0.4179  0.0848  0.2521  3 Y 3.54-3.55, 6 Ho 3.57-3.58, 2 Nd 3.58-3.59, 1 Sm 3.59

Properties
V: 386.1 Å³ per cell
Fermi-level density of states: 16.59 states/eV/cell
size of the total moment: 0.0 μB per cell
E_tot: -5.07 eV/atom

No. 12
Here is a geometry-optimized CaCdSe2 structure from the Alexandria database. Energies are from PBE-GGA.

Lattice parameters (Å, degrees): 8.1707 8.1707 8.1707 32.46 32.46 32.46
Last column: nearest neighbours and their distance in Å.
Atoms (fractional coordinates):
Ca  0.5000  0.5000  0.5000  6 Se 2.99
Se  0.8942  0.8942  0.8942  1 Cd 2.46
Se  0.1058  0.1058  0.1058  1 Cd 2.46
Cd  0.0000  0.0000  0.0000  2 Se 2.46

Properties
E_form (uncorrected): -1.085 eV per atom
V: 139.7 Å³ per cell
Fermi-level density of states: 0.00 states/eV/cell
size of the total moment: 0.0 μB per cell